Record 1
Entry from the Alexandria database: an optimized crystal structure of AcHoAg3 (GGA-PBE).

Lattice parameters (Å, degrees): 3.8704 28.1104 4.8242 90.00 90.00 90.00
Space group Cmcm (No. 63)
Symmetry-distinct sites (fractional):
Ac1 0.0000 0.0770 0.2500 (multiplicity 4)
Ho1 0.0000 0.2095 0.7500 (multiplicity 4)
Ag1 0.0000 0.3169 0.7500 (multiplicity 4)
Ag2 0.0000 0.3742 0.2500 (multiplicity 4)
Ag3 0.0000 0.4747 0.2500 (multiplicity 4)

Output
- Volume: 131.2 Å³/f.u.
- Formation energy: -0.278 eV per atom
- Calculated total energy: -74.5 eV per cell

---

Record 2
Entry from the Alexandria database: an optimized crystal structure of AcHo2Ag (GGA-PBE).

Lattice parameters (Å, degrees): 5.0747 5.0747 17.8653 90.00 90.00 120.00
Space group R-3m (No. 166, hexagonal axes)
Symmetry-distinct sites (fractional):
Ac1 0.0000 0.0000 0.0000 (multiplicity 3)
Ho1 0.0000 0.0000 0.2137 (multiplicity 6)
Ag1 0.0000 0.0000 0.5000 (multiplicity 3)

Output
- Volume: 132.8 Å³/f.u.
- Formation energy: 0.156 eV per atom
- Calculated total energy: -46.5 eV per cell

---

Record 3
Entry from the Alexandria database: an optimized crystal structure of Ac5HoAg4 (GGA-PBE).

Lattice parameters (Å, degrees): 3.9486 3.9486 20.8806 90.00 90.00 90.00
Space group P4/mmm (No. 123)
Symmetry-distinct sites (fractional):
Ac1 0.0000 0.0000 0.0000 (multiplicity 1)
Ac2 0.0000 0.0000 0.1918 (multiplicity 2)
Ac3 0.0000 0.0000 0.3806 (multiplicity 2)
Ho1 0.5000 0.5000 0.5000 (multiplicity 1)
Ag1 0.5000 0.5000 0.0951 (multiplicity 2)
Ag2 0.5000 0.5000 0.2881 (multiplicity 2)

Output
- Volume: 325.6 Å³/f.u.
- Formation energy: -0.189 eV per atom
- Calculated total energy: -38.4 eV per cell

---

Record 4
Entry from the Alexandria database: an optimized crystal structure of AcHo2Ag (GGA-PBE).

Lattice parameters (Å, degrees): 5.6185 5.6185 3.7854 90.00 90.00 90.00
Space group P4/mmm (No. 123)
Symmetry-distinct sites (fractional):
Ac1 0.0000 0.0000 0.0000 (multiplicity 1)
Ho1 0.0000 0.5000 0.5000 (multiplicity 2)
Ag1 0.5000 0.5000 0.0000 (multiplicity 1)

Output
- Volume: 119.5 Å³/f.u.
- Formation energy: 0.137 eV per atom
- Calculated total energy: -15.6 eV per cell

---

Record 5
Entry from the Alexandria database: an optimized crystal structure of AcHo2Ag6 (GGA-PBE).

Lattice parameters (Å, degrees): 8.3172 8.3172 3.5837 90.00 90.00 120.00
Space group P6/mmm (No. 191)
Symmetry-distinct sites (fractional):
Ac1 0.0000 0.0000 0.0000 (multiplicity 1)
Ho1 0.3333 0.6667 0.0000 (multiplicity 2)
Ag1 0.0000 0.3381 0.5000 (multiplicity 6)

Output
- Volume: 214.7 Å³/f.u.
- Formation energy: -0.232 eV per atom
- Calculated total energy: -32.5 eV per cell

---

Record 6
Entry from the Alexandria database: an optimized crystal structure of AcHo2Ag (GGA-PBE).

Lattice parameters (Å, degrees): 3.7964 3.7964 30.9775 90.00 90.00 120.00
Space group R3m (No. 160, hexagonal axes)
Symmetry-distinct sites (fractional):
Ac1 0.0000 0.0000 0.0000 (multiplicity 3)
Ho1 0.0000 0.0000 0.5664 (multiplicity 3)
Ho2 0.0000 0.0000 0.7651 (multiplicity 3)
Ag1 0.0000 0.0000 0.1652 (multiplicity 3)

Output
- Volume: 128.9 Å³/f.u.
- Formation energy: 0.039 eV per atom
- Calculated total energy: -47.9 eV per cell

---

Record 7
Entry from the Alexandria database: an optimized crystal structure of Ac3HoAg4 (GGA-PBE).

Lattice parameters (Å, degrees): 3.8660 3.8660 15.5750 90.00 90.00 90.00
Space group P4/mmm (No. 123)
Symmetry-distinct sites (fractional):
Ac1 0.0000 0.0000 0.0000 (multiplicity 1)
Ac2 0.0000 0.0000 0.2600 (multiplicity 2)
Ho1 0.0000 0.0000 0.5000 (multiplicity 1)
Ag1 0.5000 0.5000 0.1301 (multiplicity 2)
Ag2 0.5000 0.5000 0.3988 (multiplicity 2)

Output
- Volume: 232.8 Å³/f.u.
- Formation energy: -0.263 eV per atom
- Calculated total energy: -30.4 eV per cell

---

Record 8
Entry from the Alexandria database: an optimized crystal structure of AcHo2Ag (GGA-PBE).

Lattice parameters (Å, degrees): 7.8421 7.8421 7.8421 90.00 90.00 90.00
Space group Fm-3m (No. 225)
Symmetry-distinct sites (fractional):
Ac1 0.0000 0.0000 0.0000 (multiplicity 4)
Ho1 0.2500 0.2500 0.2500 (multiplicity 8)
Ag1 0.0000 0.0000 0.5000 (multiplicity 4)

Output
- Volume: 120.6 Å³/f.u.
- Formation energy: 0.185 eV per atom
- Calculated total energy: -61.5 eV per cell

---

Record 9
Entry from the Alexandria database: an optimized crystal structure of Ac2HoAg3 (GGA-PBE).

Lattice parameters (Å, degrees): 3.8291 3.8291 11.6278 90.00 90.00 90.00
Space group P4/mmm (No. 123)
Symmetry-distinct sites (fractional):
Ac1 0.0000 0.0000 0.1762 (multiplicity 2)
Ho1 0.0000 0.0000 0.5000 (multiplicity 1)
Ag1 0.5000 0.5000 0.0000 (multiplicity 1)
Ag2 0.5000 0.5000 0.3627 (multiplicity 2)

Output
- Volume: 170.5 Å³/f.u.
- Formation energy: -0.268 eV per atom
- Calculated total energy: -23.0 eV per cell

---

Record 10
Entry from the Alexandria database: an optimized crystal structure of AcHoAg2 (GGA-PBE).

Lattice parameters (Å, degrees): 3.7578 3.7578 7.6753 90.00 90.00 90.00
Space group P4/mmm (No. 123)
Symmetry-distinct sites (fractional):
Ac1 0.0000 0.0000 0.0000 (multiplicity 1)
Ho1 0.0000 0.0000 0.5000 (multiplicity 1)
Ag1 0.5000 0.5000 0.2885 (multiplicity 2)

Output
- Volume: 108.4 Å³/f.u.
- Formation energy: -0.282 eV per atom
- Calculated total energy: -15.5 eV per cell

---

Record 11
Entry from the Alexandria database: an optimized crystal structure of AcHo5Ag6 (GGA-PBE).

Lattice parameters (Å, degrees): 5.2237 7.2805 15.7285 90.00 90.00 90.00
Space group Immm (No. 71)
Symmetry-distinct sites (fractional):
Ac1 0.0000 0.0000 0.0000 (multiplicity 2)
Ho1 0.0000 0.0000 0.3311 (multiplicity 4)
Ho2 0.0000 0.5000 0.0000 (multiplicity 2)
Ho3 0.0000 0.5000 0.3338 (multiplicity 4)
Ag1 0.0000 0.2228 0.5000 (multiplicity 4)
Ag2 0.0000 0.2635 0.1737 (multiplicity 8)

Output
- Volume: 299.1 Å³/f.u.
- Formation energy: -0.294 eV per atom
- Calculated total energy: -95.3 eV per cell

---

Record 12
Entry from the Alexandria database: an optimized crystal structure of AcHo4Ag5 (GGA-PBE).

Lattice parameters (Å, degrees): 3.6590 3.6590 18.6903 90.00 90.00 90.00
Space group P4/mmm (No. 123)
Symmetry-distinct sites (fractional):
Ac1 0.0000 0.0000 0.0000 (multiplicity 1)
Ho1 0.0000 0.0000 0.2107 (multiplicity 2)
Ho2 0.0000 0.0000 0.4037 (multiplicity 2)
Ag1 0.5000 0.5000 0.1208 (multiplicity 2)
Ag2 0.5000 0.5000 0.3070 (multiplicity 2)
Ag3 0.5000 0.5000 0.5000 (multiplicity 1)

Output
- Volume: 250.2 Å³/f.u.
- Formation energy: -0.305 eV per atom
- Calculated total energy: -39.7 eV per cell

---

Record 13
Entry from the Alexandria database: an optimized crystal structure of AcHo2Ag (GGA-PBE).

Lattice parameters (Å, degrees): 3.7095 3.7095 8.8462 90.00 90.00 90.00
Space group P4/mmm (No. 123)
Symmetry-distinct sites (fractional):
Ac1 0.0000 0.0000 0.0000 (multiplicity 1)
Ho1 0.5000 0.5000 0.3036 (multiplicity 2)
Ag1 0.0000 0.0000 0.5000 (multiplicity 1)

Output
- Volume: 121.7 Å³/f.u.
- Formation energy: -0.102 eV per atom
- Calculated total energy: -16.5 eV per cell

---

Record 14
Entry from the Alexandria database: an optimized crystal structure of AcHoAg2 (GGA-PBE).

Lattice parameters (Å, degrees): 7.6229 7.6229 7.6229 90.00 90.00 90.00
Space group Fm-3m (No. 225)
Symmetry-distinct sites (fractional):
Ac1 0.0000 0.0000 0.0000 (multiplicity 4)
Ho1 0.0000 0.0000 0.5000 (multiplicity 4)
Ag1 0.2500 0.2500 0.2500 (multiplicity 8)

Output
- Volume: 110.7 Å³/f.u.
- Formation energy: -0.234 eV per atom
- Calculated total energy: -61.3 eV per cell

---

Record 15
Entry from the Alexandria database: an optimized crystal structure of AcHo2In2Ag2 (GGA-PBE).

Lattice parameters (Å, degrees): 4.9287 4.9287 27.5013 90.00 90.00 120.00
Space group R-3m (No. 166, hexagonal axes)
Symmetry-distinct sites (fractional):
Ac1 0.0000 0.0000 0.0000 (multiplicity 3)
Ho1 0.0000 0.0000 0.1323 (multiplicity 6)
In1 0.0000 0.0000 0.2536 (multiplicity 6)
Ag1 0.0000 0.0000 0.4277 (multiplicity 6)

Output
- Volume: 192.9 Å³/f.u.
- Formation energy: -0.314 eV per atom
- Calculated total energy: -79.9 eV per cell

---

Record 16
Entry from the Alexandria database: an optimized crystal structure of AcHoInAg (GGA-PBE).

Lattice parameters (Å, degrees): 7.7790 7.7790 7.7790 90.00 90.00 90.00
Space group F-43m (No. 216)
Symmetry-distinct sites (fractional):
Ac1 0.0000 0.0000 0.0000 (multiplicity 4)
Ho1 0.0000 0.0000 0.5000 (multiplicity 4)
In1 0.2500 0.2500 0.2500 (multiplicity 4)
Ag1 0.2500 0.2500 0.7500 (multiplicity 4)

Output
- Volume: 117.7 Å³/f.u.
- Formation energy: -0.311 eV per atom
- Calculated total energy: -62.1 eV per cell

---

Record 17
Entry from the Alexandria database: an optimized crystal structure of AcHoInAg (GGA-PBE).

Lattice parameters (Å, degrees): 3.7795 3.7795 8.0384 90.00 90.00 90.00
Space group P4mm (No. 99)
Symmetry-distinct sites (fractional):
Ac1 0.0000 0.0000 0.0000 (multiplicity 1)
Ho1 0.0000 0.0000 0.4765 (multiplicity 1)
In1 0.5000 0.5000 0.7119 (multiplicity 1)
Ag1 0.5000 0.5000 0.2852 (multiplicity 1)

Output
- Volume: 114.8 Å³/f.u.
- Formation energy: -0.359 eV per atom
- Calculated total energy: -15.7 eV per cell

---

Record 18
Entry from the Alexandria database: an optimized crystal structure of LiAcHoAg (GGA-PBE).

Lattice parameters (Å, degrees): 7.6629 7.6629 7.6629 90.00 90.00 90.00
Space group F-43m (No. 216)
Symmetry-distinct sites (fractional):
Li1 0.0000 0.0000 0.0000 (multiplicity 4)
Ac1 0.2500 0.2500 0.7500 (multiplicity 4)
Ho1 0.2500 0.2500 0.2500 (multiplicity 4)
Ag1 0.0000 0.0000 0.5000 (multiplicity 4)

Output
- Volume: 112.5 Å³/f.u.
- Formation energy: -0.039 eV per atom
- Calculated total energy: -54.4 eV per cell

---

Record 19
Entry from the Alexandria database: an optimized crystal structure of AcHoLuAg (GGA-PBE).

Lattice parameters (Å, degrees): 7.8033 7.8033 7.8033 90.00 90.00 90.00
Space group F-43m (No. 216)
Symmetry-distinct sites (fractional):
Ac1 0.0000 0.0000 0.0000 (multiplicity 4)
Ho1 0.2500 0.2500 0.2500 (multiplicity 4)
Lu1 0.2500 0.2500 0.7500 (multiplicity 4)
Ag1 0.0000 0.0000 0.5000 (multiplicity 4)

Output
- Volume: 118.8 Å³/f.u.
- Formation energy: 0.197 eV per atom
- Calculated total energy: -61.1 eV per cell

---

Record 20
Entry from the Alexandria database: an optimized crystal structure of AcHoMg2Ag4 (GGA-PBE).

Lattice parameters (Å, degrees): 4.8366 4.8366 28.3159 90.00 90.00 120.00
Space group R-3m (No. 166, hexagonal axes)
Symmetry-distinct sites (fractional):
Ac1 0.0000 0.0000 0.0000 (multiplicity 3)
Ho1 0.0000 0.0000 0.5000 (multiplicity 3)
Mg1 0.0000 0.0000 0.2393 (multiplicity 6)
Ag1 0.0000 0.0000 0.1187 (multiplicity 6)
Ag2 0.0000 0.0000 0.3972 (multiplicity 6)

Output
- Volume: 191.2 Å³/f.u.
- Formation energy: -0.273 eV per atom
- Calculated total energy: -76.4 eV per cell